11
Lattice="4.838 -2.808 0.000 4.838 2.808 0.000 -3.275 0.000 6.302" Properties=species:S:1:pos:R:3 comment="K2CoSe2O6 GGA+U optimized geometry" m_tot_mub_per_cell=3.0 final_energy_ev_per_atom=-5.254 polymorph_energy_ev_per_atom=0.000 pbc="T T T"
K 1.613 0.000 0.529
K 4.788 0.000 5.773
Co -1.637 0.000 3.151
Se 1.580 0.000 3.817
Se 4.821 0.000 2.485
O -0.008 0.000 4.521
O 2.345 1.363 4.559
O 4.057 1.363 1.743
O 2.345 -1.363 4.559
O 4.057 -1.363 1.743
O 6.409 0.000 1.781